KPuCo2O8: relaxed, PBE+U.

Output
- energy (eV/atom) = -6.61
- mass density (g cm⁻³) = 5.2

abc: 6.0423 6.0423 6.0423
angles: 106.97 106.97 114.60
Site moments in Bohr magnetons follow the coordinates.
Atoms (fractional coordinates):
Co  0.7500  0.2500  0.5000  1.35
Co  0.5000  0.5000  0.0000  2.69
O  0.7316  0.0669  0.6647  0.19
O  0.9331  0.2684  0.3353  0.19
O  0.9331  0.5978  0.6647  0.19
O  0.8963  0.6651  0.2312  0.13
O  0.4339  0.6651  0.7688  0.13
O  0.3349  0.1037  0.7688  0.13
O  0.4022  0.0669  0.3353  0.19
O  0.3349  0.5661  0.2312  0.13
Pu  0.2500  0.7500  0.5000  -0.61
K  0.0000  0.0000  0.0000  0.00